A relaxed structure of K2IrS4, computed with PBE.

Lattice parameters (Å, degrees): 4.867 4.867 8.562 73.49 73.49 90.00
Fractional coordinates of all 7 atoms:
K 0.357 0.357 0.286
K 0.643 0.643 0.714
Ir 0.000 0.000 0.000
S 0.148 0.148 0.704
S 0.852 0.852 0.296
S 0.000 0.500 0.000
S 0.500 0.000 0.000

Results
Density of states at the Fermi level ... 3.484 states/eV/cell
Raw formation energy ... -0.28 eV/atom
E ... -0.30992 Ry per atom